No. 1
LaMgVRu2 | PBE | optimized geometry

abc: 4.727 4.727 4.671
angles: 90.00 90.00 90.00
Fractional coordinates of all 5 atoms:
La1 0.000 0.000 0.000
Mg1 0.500 0.500 0.500
V1 0.500 0.500 0.000
Ru1 0.000 0.500 0.500
Ru2 0.500 0.000 0.500

Output
Calculated formation energy in eV/atom: 0.945
Crystal system: tetragonal
Total energy in eV for the cell shown: -29.469
Symmetry: P4/mmm

***

No. 2
KBaMn2Cl8 | PBE | optimized geometry

abc: 6.863 6.863 10.062
angles: 90.00 90.00 120.00
Fractional coordinates of all 12 atoms:
K1 0.000 0.000 0.000
Ba1 0.000 0.000 0.500
Mn1 0.333 0.667 0.772
Mn2 0.667 0.333 0.228
Cl1 0.015 0.340 0.707
Cl2 0.325 0.985 0.707
Cl3 0.333 0.667 0.992
Cl4 0.340 0.325 0.293
Cl5 0.660 0.675 0.707
Cl6 0.667 0.333 0.008
Cl7 0.675 0.015 0.293
Cl8 0.985 0.660 0.293

Output
Crystal system: trigonal
Total energy in eV for the cell shown: -53.949
Symmetry: P-3

***

No. 3
Zr2CdW | PBE | optimized geometry

abc: 10.854 10.854 10.854
angles: 15.68 15.68 15.68
Fractional coordinates of all 4 atoms:
Zr1 0.247 0.247 0.247
Zr2 0.753 0.753 0.753
Cd1 0.000 0.000 0.000
W1 0.500 0.500 0.500

Output
Calculated formation energy in eV/atom: 0.270
Crystal system: trigonal
Total energy in eV for the cell shown: -29.885
Symmetry: R-3m

***

No. 4
LaDy2YP4 | PBE | optimized geometry

abc: 7.061 4.080 7.062
angles: 90.00 109.42 90.00
Fractional coordinates of all 8 atoms:
La1 0.000 0.000 0.000
Dy1 0.000 0.500 0.500
Dy2 0.500 0.000 0.500
Y1 0.500 0.500 0.000
P1 0.254 0.000 0.745
P2 0.259 0.500 0.260
P3 0.741 0.500 0.740
P4 0.746 0.000 0.255

Output
Calculated formation energy in eV/atom: -1.591
Crystal system: monoclinic
Total energy in eV for the cell shown: -54.960
Symmetry: P2/m

***

No. 5
SrTa2PdRu | PBE | optimized geometry

abc: 4.903 4.903 4.713
angles: 90.00 90.00 90.00
Fractional coordinates of all 5 atoms:
Sr1 0.000 0.000 0.000
Ta1 0.000 0.500 0.000
Ta2 0.500 0.000 0.000
Pd1 0.000 0.000 0.500
Ru1 0.500 0.500 0.500

Output
Calculated formation energy in eV/atom: 2.834
Crystal system: tetragonal
Total energy in eV for the cell shown: -25.687
Symmetry: P4/mmm

***

No. 6
Rb2UCl6 | PBE | optimized geometry

abc: 7.519 7.519 6.094
angles: 90.32 90.32 59.75
Fractional coordinates of all 9 atoms:
Rb1 0.168 0.168 0.260
Rb2 0.832 0.832 0.740
U1 0.500 0.500 0.000
Cl1 0.163 0.669 0.236
Cl2 0.331 0.331 0.761
Cl3 0.331 0.837 0.764
Cl4 0.669 0.163 0.236
Cl5 0.669 0.669 0.239
Cl6 0.837 0.331 0.764

Output
Crystal system: monoclinic
Total energy in eV for the cell shown: -41.297
Symmetry: C2/m

***

Question: total energy of number 6 (Rb2UCl6)?
Answer: -41.297 eV for the cell shown

***

Question: total energy of number 2 (KBaMn2Cl8)?
Answer: -53.949 eV for the cell shown